SrTl2CoCl6: optimized geometry, GGA-PBE.

Computed properties:
ΔE_f (raw) ... -1.28 eV/atom
Fermi-level density of states ... 1.1 states/eV/f.u.

Unit cell a=7.2851 b=7.4636 c=10.4337 alpha=90.00 beta=90.42 gamma=90.00
Last column: magnetic moment on the atom in μB.
Atoms (fractional coordinates):
Sr  0.5000  0.0000  0.0000  0.01
Sr  0.0000  0.5000  0.5000  0.01
Tl  0.0160  0.9416  0.2471  0.00
Tl  0.5160  0.5584  0.7471  0.00
Tl  0.9840  0.0584  0.7529  0.00
Tl  0.4840  0.4416  0.2529  0.00
Co  0.5000  0.0000  0.5000  2.52
Co  0.0000  0.5000  0.0000  2.52
Cl  0.2746  0.6855  0.0397  0.05
Cl  0.7746  0.8145  0.5397  0.05
Cl  0.7254  0.3145  0.9603  0.05
Cl  0.2254  0.1855  0.4603  0.05
Cl  0.3167  0.7263  0.4582  0.05
Cl  0.8167  0.7737  0.9582  0.05
Cl  0.6833  0.2737  0.5418  0.05
Cl  0.1833  0.2263  0.0418  0.05
Cl  0.9202  0.5133  0.2287  0.05
Cl  0.4202  0.9867  0.7287  0.05
Cl  0.0798  0.4867  0.7713  0.05
Cl  0.5798  0.0133  0.2713  0.05